[1]
First-principles (PBE-GGA) data for a relaxed NaSrYCd2 crystal, as listed in Alexandria via LeMat-Bulk.

Cell lengths 5.3678, 5.4482, 5.3678 Å; angles 90.00, 90.00, 90.00 degrees
Fractional positions:
Y: 0.5000 0.5000 0.5000
Na: 0.0000 0.0000 0.0000
Cd: 0.5000 0.0000 0.0000
Cd: 0.0000 0.0000 0.5000
Sr: 0.0000 0.5000 0.0000

## Properties
Symmetry = P4/mmm, No. 123
Total moment = 0.0 Bohr magnetons per cell
Electronic total energy = -1.862 eV per atom

---

[2]
First-principles (PBE-GGA) data for a relaxed NaSrYCd crystal, as listed in Alexandria via LeMat-Bulk.

Cell lengths 5.6531, 5.6531, 5.6531 Å; angles 60.00, 60.00, 60.00 degrees
Fractional positions:
Y: 0.7500 0.7500 0.7500
Na: 0.5000 0.5000 0.5000
Sr: 0.2500 0.2500 0.2500
Cd: 0.0000 0.0000 0.0000

## Properties
Symmetry = F-43m, No. 216
Total moment = 0.0 Bohr magnetons per cell
Electronic total energy = -2.590 eV per atom

---

[3]
First-principles (PBE-GGA) data for a relaxed NaSr2ZnCd crystal, as listed in Alexandria via LeMat-Bulk.

Cell lengths 6.2043, 6.2043, 5.0593 Å; angles 90.00, 90.00, 90.00 degrees
Fractional positions:
Sr: 0.0000 0.5000 0.0000
Sr: 0.5000 0.0000 0.0000
Na: 0.5000 0.5000 0.5000
Cd: 0.0000 0.0000 0.5000
Zn: 0.0000 0.0000 0.0000

## Properties
Symmetry = P4/mmm, No. 123
Total moment = 0.0 Bohr magnetons per cell
Electronic total energy = -1.397 eV per atom

---

[4]
First-principles (PBE-GGA) data for a relaxed NaTaCd3 crystal, as listed in Alexandria via LeMat-Bulk.

Cell lengths 5.5040, 5.5040, 5.5040 Å; angles 90.00, 90.00, 90.00 degrees
Fractional positions:
Cd: 0.0000 0.5000 0.0000
Cd: 0.5000 0.0000 0.0000
Cd: 0.0000 0.0000 0.5000
Na: 0.5000 0.5000 0.5000
Ta: 0.0000 0.0000 0.0000

## Properties
Symmetry = Pm-3m, No. 221
ΔE to the lowest computed polymorph = 0 meV/atom
Total moment = 2.3 Bohr magnetons per cell
Electronic total energy = -2.375 eV per atom